1.
Tl2InPb | PBE-GGA | optimized geometry

Calculated values
M_tot	0.000	μB per atom
distance to the lowest polymorph of the same formula	119.9	meV per atom

Lattice parameters (Å, degrees): 3.4797 5.6151 12.7732 90.00 90.00 90.00
Closest atoms and distances in Å follow each position.
Space group Immm (No. 71)
One atom of each set of equivalent atoms:
Tl: 0.0000 0.0000 0.2453  1 In 3.13, 1 Pb 3.25, 6 Tl 3.31-3.48
In: 0.0000 0.0000 0.0000  2 Tl 3.13, 4 Pb 3.30, 2 In 3.48
Pb: 0.0000 0.0000 0.5000  2 Tl 3.25, 4 In 3.30, 2 Pb 3.48

2.
Tl3In6Pb2 | PBE-GGA | optimized geometry

Calculated values
M_tot	0.000	μB per atom

Lattice parameters (Å, degrees): 3.4357 3.4357 93.8067 90.00 90.00 120.00
Closest atoms and distances in Å follow each position.
Space group R-3m (No. 166, hexagonal axes)
One atom of each set of equivalent atoms:
Tl: 0.0000 0.0000 0.0000  6 Tl 3.44, 6 In 3.48
Tl: 0.0000 0.0000 0.2727  6 Tl 3.44, 6 In 3.45-3.46
In: 0.0000 0.0000 0.0908  6 In 3.44, 3 Tl 3.45, 3 Pb 3.49
In: 0.0000 0.0000 0.1812  9 In 3.37-3.44, 3 Pb 3.51
In: 0.0000 0.0000 0.3638  6 In 3.44, 6 Tl 3.46-3.48
Pb: 0.0000 0.0000 0.4547  6 Pb 3.44, 6 In 3.49-3.51

3.
Tl7In4Pb | PBE-GGA | optimized geometry

Calculated values
M_tot	0.000	μB per atom
distance to the lowest polymorph of the same formula	83.5	meV per atom

Lattice parameters (Å, degrees): 13.8412 6.2255 9.9569 90.00 119.14 90.00
Closest atoms and distances in Å follow each position.
Space group C2/m (No. 12)
One atom of each set of equivalent atoms:
Tl: 0.0000 0.0000 0.0000  2 Pb 3.11, 4 In 3.32-3.35
Tl: 0.0385 0.5000 0.3671  3 In 3.15-3.18, 3 Tl 3.30-3.41, 1 Pb 3.43
Tl: 0.2229 0.5000 0.9244  1 In 3.28, 5 Tl 3.36-3.53, 1 Pb 3.51
Tl: 0.2446 0.0000 0.7053  4 In 3.04-3.30, 1 Pb 3.32
In: 0.0163 0.0000 0.6778  4 Tl 3.04-3.32, 2 In 3.08-3.34
In: 0.2171 0.0000 0.3568  1 In 3.08, 6 Tl 3.15-3.35
Pb: 0.0000 0.5000 0.0000  6 Tl 3.11-3.43

4.
TlIn8Pb5 | PBE-GGA | optimized geometry

Calculated values
M_tot	0.000	μB per atom

Lattice parameters (Å, degrees): 9.2336 9.2336 10.0751 90.00 90.00 90.00
Closest atoms and distances in Å follow each position.
Space group I-4 (No. 82)
One atom of each set of equivalent atoms:
Tl: 0.0000 0.0000 0.0000  4 In 3.30
In: 0.0662 0.8410 0.3531  3 In 3.18-3.47, 5 Pb 3.30-3.52
In: 0.1002 0.6579 0.9812  5 Pb 3.20-3.33, 1 Tl 3.30, 3 In 3.34-3.47
Pb: 0.0000 0.5000 0.2500  8 In 3.21-3.37
Pb: 0.1479 0.7090 0.6625  8 In 3.20-3.52

5.
TlIn4Pb8 | PBE-GGA | optimized geometry

Calculated values
M_tot	0.000	μB per atom
distance to the lowest polymorph of the same formula	191.0	meV per atom

Lattice parameters (Å, degrees): 12.1684 12.1684 12.1684 90.00 90.00 90.00
Closest atoms and distances in Å follow each position.
Space group F-43m (No. 216)
One atom of each set of equivalent atoms:
Tl: 0.0000 0.0000 0.0000  4 Pb 3.13
In: 0.0984 0.0984 0.4016  6 Pb 3.17-3.20, 3 In 3.39
Pb: 0.1486 0.1486 0.1486  1 Tl 3.13, 3 In 3.20, 3 Pb 3.49
Pb: 0.1511 0.1511 0.6511  3 In 3.17, 3 Pb 3.40

6.
Tl2InPb | PBE-GGA | optimized geometry

Calculated values
M_tot	0.000	μB per atom
distance to the lowest polymorph of the same formula	20.9	meV per atom

Lattice parameters (Å, degrees): 3.4791 5.4864 6.3649 90.00 92.82 90.00
Closest atoms and distances in Å follow each position.
Space group Pm (No. 6)
One atom of each set of equivalent atoms:
Tl: 0.0000 0.0000 0.0000  4 Tl 3.39-3.48, 4 In 3.44-3.52, 3 Pb 3.51-3.60
Tl: 0.0628 0.5000 0.6911  4 Tl 3.39-3.48, 4 Pb 3.49-3.52, 4 In 3.53-3.76
In: 0.5403 0.5000 0.1941  2 Pb 3.30, 7 Tl 3.44-3.64, 2 In 3.48
Pb: 0.5349 0.0000 0.4824  2 In 3.30, 2 Pb 3.48, 7 Tl 3.49-3.60

7.
Tl3In2Pb | PBE-GGA | optimized geometry

Calculated values
M_tot	0.000	μB per atom
distance to the lowest polymorph of the same formula	0.0	meV per atom

Lattice parameters (Å, degrees): 7.2072 9.1956 11.3159 90.00 108.56 90.00
Closest atoms and distances in Å follow each position.
Space group C2/c (No. 15)
One atom of each set of equivalent atoms:
Tl: 0.0000 0.1249 0.2500  4 In 3.43-3.44, 6 Tl 3.44-3.55, 2 Pb 3.60
Tl: 0.1649 0.1253 0.5807  5 Tl 3.40-3.55, 5 In 3.40-3.62, 2 Pb 3.43-3.45
In: 0.1659 0.3759 0.0821  2 In 3.40-3.42, 7 Tl 3.40-3.62, 3 Pb 3.43-3.56
Pb: 0.0000 0.3738 0.7500  6 Tl 3.43-3.60, 6 In 3.43-3.56

8.
Tl2InPb | PBE-GGA | optimized geometry

Calculated values
M_tot	0.000	μB per atom
distance to the lowest polymorph of the same formula	21.3	meV per atom

Lattice parameters (Å, degrees): 4.7812 4.7812 10.5344 90.00 90.00 90.00
Closest atoms and distances in Å follow each position.
Space group I4/mmm (No. 139)
One atom of each set of equivalent atoms:
Tl: 0.0000 0.5000 0.2500  4 Tl 3.38, 4 In 3.56, 4 Pb 3.56
In: 0.0000 0.0000 0.0000  4 Pb 3.38, 8 Tl 3.56
Pb: 0.0000 0.0000 0.5000  4 In 3.38, 8 Tl 3.56

9.
TlIn6Pb12 | PBE-GGA | optimized geometry

Calculated values
M_tot	0.000	μB per atom
distance to the lowest polymorph of the same formula	13.2	meV per atom

Lattice parameters (Å, degrees): 10.5748 10.5748 10.5748 90.00 90.00 90.00
Closest atoms and distances in Å follow each position.
Space group Im-3 (No. 204)
One atom of each set of equivalent atoms:
Tl: 0.0000 0.0000 0.0000  12 Pb 3.40
In: 0.0000 0.3582 0.5000  1 In 3.00, 2 Pb 3.11
Pb: 0.0000 0.1885 0.2599  1 In 3.11, 1 Tl 3.40, 4 Pb 3.48

10.
Tl2InPb | PBE-GGA | optimized geometry

Calculated values
M_tot	0.000	μB per atom
distance to the lowest polymorph of the same formula	26.5	meV per atom

Lattice parameters (Å, degrees): 6.7407 11.0973 3.3945 90.00 107.82 90.00
Closest atoms and distances in Å follow each position.
Space group C2/m (No. 12)
One atom of each set of equivalent atoms:
Tl: 0.2500 0.2500 0.0000  4 Tl 3.37-3.39, 2 Pb 3.42, 2 In 3.42
In: 0.0000 0.0000 0.5000  2 Pb 3.37, 2 In 3.39, 4 Tl 3.42
Pb: 0.0000 0.5000 0.5000  2 In 3.37, 2 Pb 3.39, 4 Tl 3.42

11.
Tl3In2Pb7 | PBE-GGA | optimized geometry

Calculated values
M_tot	0.000	μB per atom

Lattice parameters (Å, degrees): 6.3252 3.4714 16.9954 90.00 92.17 90.00
Closest atoms and distances in Å follow each position.
Space group P2/m (No. 10)
One atom of each set of equivalent atoms:
Tl: 0.0000 0.0000 0.0000  2 Tl 3.47, 10 Pb 3.51-3.61
Tl: 0.4985 0.5000 0.3403  2 Tl 3.47, 7 Pb 3.50-3.70, 4 In 3.57-3.65
In: 0.0044 0.0000 0.3288  5 Pb 3.30-3.56, 2 In 3.47, 4 Tl 3.57-3.65
Pb: 0.1587 0.5000 0.8311  2 In 3.35, 7 Pb 3.47-3.63, 3 Tl 3.53-3.70
Pb: 0.2506 0.0000 0.5037  4 Pb 3.16-3.47, 2 In 3.30-3.32, 2 Tl 3.50
Pb: 0.3454 0.0000 0.1667  8 Pb 3.47-3.63, 3 Tl 3.51-3.53, 1 In 3.56
Pb: 0.5000 0.5000 0.0000  8 Pb 3.47-3.53, 4 Tl 3.61

12.
Tl9InPb2 | PBE-GGA | optimized geometry

Calculated values
M_tot	0.000	μB per atom

Lattice parameters (Å, degrees): 4.8777 4.8777 15.4548 90.00 90.00 90.00
Closest atoms and distances in Å follow each position.
Space group P4/mmm (No. 123)
One atom of each set of equivalent atoms:
Tl: 0.0000 0.0000 0.0000  4 In 3.45, 8 Tl 3.57
Tl: 0.0000 0.0000 0.3357  4 Pb 3.45, 8 Tl 3.52-3.56
Tl: 0.0000 0.5000 0.1683  8 Tl 3.45-3.57, 2 Pb 3.50, 2 In 3.57
Tl: 0.0000 0.5000 0.5000  8 Tl 3.45-3.52, 4 Pb 3.58
In: 0.5000 0.5000 0.0000  12 Tl 3.45-3.57
Pb: 0.5000 0.5000 0.3308  12 Tl 3.45-3.58

13.
TlIn4Pb6 | PBE-GGA | optimized geometry

Calculated values
M_tot	0.000	μB per atom
distance to the lowest polymorph of the same formula	0.0	meV per atom

Lattice parameters (Å, degrees): 9.6157 9.6157 4.3576 90.00 90.00 120.00
Closest atoms and distances in Å follow each position.
Space group P-6m2 (No. 187)
One atom of each set of equivalent atoms:
Tl: 0.0000 0.0000 0.0000  6 In 3.67, 6 Pb 3.90
In: 0.3333 0.6667 0.0000  9 Pb 3.18-3.42
In: 0.3548 0.1774 0.5000  6 Pb 3.10-3.24
Pb: 0.1940 0.3879 0.5000  4 In 3.10-3.18
Pb: 0.5390 0.0779 0.0000  5 In 3.24-3.42

14.
TlIn3Pb5 | PBE-GGA | optimized geometry

Calculated values
M_tot	0.000	μB per atom
distance to the lowest polymorph of the same formula	27.9	meV per atom

Lattice parameters (Å, degrees): 16.6287 7.3772 10.4035 90.00 107.90 90.00
Closest atoms and distances in Å follow each position.
Space group C2/c (No. 15)
One atom of each set of equivalent atoms:
Tl: 0.0000 0.2457 0.2500  4 In 3.17-3.18
In: 0.0000 0.0000 0.0000  2 Tl 3.17, 6 Pb 3.20-3.24
In: 0.1638 0.4948 0.3324  1 Tl 3.18, 7 Pb 3.19-3.23
Pb: 0.0000 0.2535 0.7500  4 In 3.19-3.20
Pb: 0.1683 0.2477 0.5871  4 In 3.20-3.23
Pb: 0.1693 0.2463 0.0821  4 In 3.20-3.24

15.
TlInPb2 | PBE-GGA | optimized geometry

Calculated values
M_tot	0.000	μB per atom
distance to the lowest polymorph of the same formula	34.1	meV per atom

Lattice parameters (Å, degrees): 7.8343 7.8343 7.8343 90.00 90.00 90.00
Closest atoms and distances in Å follow each position.
Space group Fm-3m (No. 225)
One atom of each set of equivalent atoms:
Tl: 0.0000 0.0000 0.0000  8 Pb 3.39
In: 0.0000 0.0000 0.5000  8 Pb 3.39
Pb: 0.2500 0.2500 0.2500  4 Tl 3.39, 4 In 3.39

16.
Tl5In12Pb3 | PBE-GGA | optimized geometry

Calculated values
M_tot	0.000	μB per atom

Lattice parameters (Å, degrees): 17.8708 17.8708 17.8708 90.00 90.00 90.00
Closest atoms and distances in Å follow each position.
Space group Ia-3d (No. 230)
One atom of each set of equivalent atoms:
Tl: 0.0000 0.0000 0.0000  6 In 3.06
Tl: 0.0000 0.2500 0.3750  4 In 3.00
In: 0.0137 0.0781 0.6517  2 Tl 3.00-3.06, 2 Pb 3.12-3.34, 1 In 3.29
Pb: 0.0000 0.2500 0.1250  8 In 3.12-3.34

17.
TlIn5Pb7 | PBE-GGA | optimized geometry

Calculated values
M_tot	0.000	μB per atom

Lattice parameters (Å, degrees): 13.9413 10.3334 5.8928 90.00 108.71 90.00
Closest atoms and distances in Å follow each position.
Space group Cm (No. 8)
One atom of each set of equivalent atoms:
Tl: 0.0000 0.0000 0.0000  3 In 3.29-3.67, 7 Pb 3.31-3.61
In: 0.1741 0.2276 0.1027  3 In 3.14-3.51, 4 Pb 3.29-3.49, 1 Tl 3.29
In: 0.2062 0.0000 0.7399  6 Pb 3.22-3.60, 4 In 3.30-3.57
In: 0.2603 0.3274 0.6331  2 In 3.14-3.51, 3 Pb 3.16-3.33
Pb: 0.0091 0.1921 0.5186  3 In 3.30-3.63, 4 Pb 3.31-3.57, 2 Tl 3.50-3.61
Pb: 0.0802 0.5000 0.7283  4 In 3.27-3.56, 6 Pb 3.35-3.44
Pb: 0.3029 0.5000 0.1976  6 In 3.29-3.65, 1 Tl 3.31, 3 Pb 3.43-3.51
Pb: 0.3361 0.0000 0.3761  4 In 3.22-3.60, 3 Pb 3.37-3.47
Pb: 0.4365 0.1637 0.9892  3 In 3.16-3.51, 4 Pb 3.31-3.47

18.
Tl3InPb3 | PBE-GGA | optimized geometry

Calculated values
M_tot	0.000	μB per atom
distance to the lowest polymorph of the same formula	0.0	meV per atom

Lattice parameters (Å, degrees): 11.9450 9.3397 8.0221 90.00 102.97 90.00
Closest atoms and distances in Å follow each position.
Space group P2_1/c (No. 14)
One atom of each set of equivalent atoms:
Tl: 0.0172 0.1832 0.4584  3 In 3.22-3.48, 5 Pb 3.24-3.60, 1 Tl 3.53
Tl: 0.3917 0.5136 0.6078  4 Tl 3.30-3.62, 5 Pb 3.35-3.69, 1 In 3.48
Tl: 0.4765 0.1741 0.5356  4 Pb 3.24-3.59, 4 Tl 3.30-3.62
In: 0.1055 0.5211 0.3890  4 Tl 3.22-3.48, 4 Pb 3.27-3.49, 1 In 3.42
Pb: 0.1727 0.5909 0.7988  2 In 3.27-3.49, 3 Pb 3.28-3.46, 4 Tl 3.39-3.56
Pb: 0.2484 0.2379 0.7513  5 Tl 3.24-3.60, 1 In 3.29, 2 Pb 3.45-3.46
Pb: 0.3182 0.6144 0.1964  3 Pb 3.28-3.45, 4 Tl 3.35-3.67, 1 In 3.37

| no. | calculated formation energy (eV/f.u.) | volume (Å³ per cell) | density of states at the Fermi level (states/eV/cell) |
| --- | --- | --- | --- |
| 1 | 0.47 | 249.58 | 5.73 |
| 2 | 0.31 | 958.95 | 17.38 |
| 3 | 1.13 | 749.34 | 12.19 |
| 4 | 1.08 | 859.00 | 12.41 |
| 5 | 2.57 | 1801.78 | 27.35 |
| 6 | 0.07 | 121.34 | 1.44 |
| 7 | 0.04 | 710.95 | 9.97 |
| 8 | 0.08 | 240.81 | 2.99 |
| 9 | 1.37 | 1182.55 | 19.27 |
| 10 | 0.10 | 241.73 | 3.27 |
| 11 | 0.40 | 372.91 | 6.68 |
| 12 | 0.23 | 367.71 | 4.34 |
| 13 | 0.94 | 348.93 | 6.51 |
| 14 | 0.66 | 1214.48 | 11.90 |
| 15 | 0.14 | 480.84 | 7.81 |
| 16 | 4.09 | 5707.29 | 93.72 |
| 17 | 0.70 | 804.07 | 10.92 |
| 18 | 0.32 | 872.15 | 12.49 |